## Sc3Hg (PBE)

Data for a relaxed structure of Sc3Hg.

Cell: 4.4112 5.5859 4.4112 Å, 66.74 90.00 113.26°
Closest atoms and distances in Å follow each position.
Positions (direct):
Hg  0.0000  0.0000  0.0000  12 Sc 3.12-3.20
Sc  0.2500  0.5000  0.2500  8 Sc 3.12-3.20, 4 Hg 3.20
Sc  0.5000  0.0000  0.5000  4 Hg 3.12, 8 Sc 3.20
Sc  0.7500  0.5000  0.7500  8 Sc 3.12-3.20, 4 Hg 3.20

As for the crystal system: tetragonal. The formation energy is -0.7 eV per formula unit. The total magnetic moment comes out at 1.256 μB per cell. The value obtained for the density of states at the Fermi level is 1.50 states/eV per atom. The space-group type is I4/mmm (139).

---

## ScHg5 (PBE)

Data for a relaxed structure of ScHg5.

Cell: 7.0712 7.0712 7.8967 Å, 116.60 116.60 90.00°
Closest atoms and distances in Å follow each position.
Positions (direct):
Sc  0.2500  0.2500  0.5000  10 Hg 3.01-3.06
Sc  0.7500  0.7500  0.5000  10 Hg 3.01-3.06
Hg  0.0000  0.0000  0.0000  2 Sc 3.06, 8 Hg 3.13
Hg  0.5000  0.5000  0.0000  2 Sc 3.06, 8 Hg 3.13
Hg  0.2932  0.7932  0.2683  2 Sc 3.01, 5 Hg 3.13-3.37
Hg  0.4752  0.2932  0.2683  2 Sc 3.01, 5 Hg 3.13-3.37
Hg  0.7932  0.9752  0.2683  2 Sc 3.01, 5 Hg 3.13-3.37
Hg  0.5248  0.7068  0.7317  2 Sc 3.01, 5 Hg 3.13-3.37
Hg  0.2068  0.0248  0.7317  2 Sc 3.01, 5 Hg 3.13-3.37
Hg  0.0248  0.5248  0.7317  2 Sc 3.01, 5 Hg 3.13-3.37
Hg  0.7068  0.2068  0.7317  2 Sc 3.01, 5 Hg 3.13-3.37
Hg  0.9752  0.4752  0.2683  2 Sc 3.01, 5 Hg 3.13-3.37

As for the crystal system: tetragonal. The formation energy is -0.6 eV per formula unit. The total magnetic moment comes out at 0.000 μB per cell. The value obtained for the density of states at the Fermi level is 0.70 states/eV per atom. The space-group type is I4/mcm (140).

---

## Sc3Hg (PBE)

Data for a relaxed structure of Sc3Hg.

Cell: 5.3916 5.3916 5.3916 Å, 90.00 90.00 90.00°
Closest atoms and distances in Å follow each position.
Positions (direct):
Hg  0.0000  0.0000  0.0000  6 Sc 2.70
Sc  0.5000  0.0000  0.0000  2 Hg 2.70
Sc  0.0000  0.5000  0.0000  2 Hg 2.70
Sc  0.0000  0.0000  0.5000  2 Hg 2.70

As for the crystal system: cubic. The formation energy is 3.1 eV per formula unit. The total magnetic moment comes out at 0.851 μB per cell. The value obtained for the density of states at the Fermi level is 1.73 states/eV per atom. The space-group type is Pm-3m (221).